Density functional theory data (PBE with a Hubbard U) for a geometry-optimized NiWBr2F structure.

## Properties
total DFT energy (no corrections): -2.996 eV/atom

Cell lengths 5.4550, 4.1932, 5.4550 Å; angles 90.00, 90.00, 90.00 degrees
Each line ends with the local moment (μB).
Positions (direct):
F 0.0000 0.5000 0.0000  0.05
Ni 0.5000 0.5000 0.5000  -0.81
W 0.0000 0.0000 0.0000  3.19
Br 0.5000 0.0000 0.0000  -0.04
Br 0.0000 0.0000 0.5000  0.00


Density functional theory data (PBE with a Hubbard U) for a geometry-optimized Y2NiBrF structure.

## Properties
total DFT energy (no corrections): -4.145 eV/atom

Cell lengths 5.0944, 4.8983, 5.0944 Å; angles 90.00, 90.00, 90.00 degrees
Positions (direct):
Y 0.0000 0.0000 0.5000
Y 0.5000 0.0000 0.0000
F 0.5000 0.5000 0.5000
Ni 0.0000 0.0000 0.0000
Br 0.0000 0.5000 0.0000


Density functional theory data (PBE with a Hubbard U) for a geometry-optimized ZrNi2BrF structure.

## Properties
total DFT energy (no corrections): -2.755 eV/atom

Cell lengths 4.2166, 5.1287, 4.2166 Å; angles 90.00, 90.00, 90.00 degrees
Each line ends with the local moment (μB).
Positions (direct):
Br 0.0000 0.0000 0.0000  0.03
Ni 0.5000 0.0000 0.0000  -0.13
Ni 0.0000 0.0000 0.5000  -0.12
Zr 0.5000 0.5000 0.5000  1.23
F 0.0000 0.5000 0.0000  0.02